# 1
## TcAgBi2 (GGA-PBEsol)

Data for crystalline TcAgBi2 at its relaxed geometry.

Raw total energy in eV per atom: -5.221
Symmetry: No. 225

abc: 4.909 4.909 4.909
angles: 60.00 60.00 60.00
Each line ends with the local moment (μB).
Element x y z (fractional)
Ag 0.500 0.500 0.500  0.01
Bi 0.250 0.250 0.250  0.01
Tc 0.000 0.000 0.000  0.59
Bi 0.750 0.750 0.750  0.01

=====

# 2
## TcAg3Bi (GGA-PBEsol)

Data for crystalline TcAg3Bi at its relaxed geometry.

Raw total energy in eV per atom: -3.712
E above lowest polymorph in meV/atom: 0.0
Symmetry: No. 221

abc: 4.914 4.914 4.914
angles: 90.00 90.00 90.00
Element x y z (fractional)
Ag 0.000 0.500 0.000
Ag 0.000 0.000 0.500
Ag 0.500 0.000 0.000
Bi 0.500 0.500 0.500
Tc 0.000 0.000 0.000

=====

# 3
## Tc3AgBi (GGA-PBEsol)

Data for crystalline Tc3AgBi at its relaxed geometry.

Raw total energy in eV per atom: -5.667
Symmetry: No. 221

abc: 4.950 4.950 4.950
angles: 90.00 90.00 90.00
Each line ends with the local moment (μB).
Element x y z (fractional)
Tc 0.500 0.000 0.000  1.62
Ag 0.500 0.500 0.500  0.03
Tc 0.000 0.500 0.000  1.62
Bi 0.000 0.000 0.000  -0.02
Tc 0.000 0.000 0.500  1.62

=====

# 4
## Tc2AgBiTe (GGA-PBEsol)

Data for crystalline Tc2AgBiTe at its relaxed geometry.

Raw total energy in eV per atom: -4.918
E_form (uncorrected) in meV per atom: 1812.6
Symmetry: No. 123

abc: 5.021 5.021 5.013
angles: 90.00 90.00 90.00
Each line ends with the local moment (μB).
Element x y z (fractional)
Bi 0.500 0.500 0.500  -0.22
Ag 0.000 0.000 0.000  0.09
Tc 0.500 0.000 0.000  2.69
Te 0.000 0.000 0.500  -0.01
Tc 0.000 0.500 0.000  2.69

=====

# 5
## AgBi3Te (GGA-PBEsol)

Data for crystalline AgBi3Te at its relaxed geometry.

Raw total energy in eV per atom: -3.401
E_form (uncorrected) in meV per atom: 538.0
Symmetry: No. 221

abc: 5.417 5.417 5.417
angles: 90.00 90.00 90.00
Element x y z (fractional)
Bi 0.500 0.000 0.000
Te 0.500 0.500 0.500
Ag 0.000 0.000 0.000
Bi 0.000 0.500 0.000
Bi 0.000 0.000 0.500

=====

# 6
## Tl2AgBi2 (GGA-PBEsol)

Data for crystalline Tl2AgBi2 at its relaxed geometry.

Raw total energy in eV per atom: -3.344
Symmetry: No. 127

abc: 5.344 7.439 7.439
angles: 90.00 90.00 90.00
Element x y z (fractional)
Ag 0.000 0.000 0.000
Ag 0.000 0.500 0.500
Bi 0.000 0.353 0.853
Bi 0.000 0.853 0.647
Bi 0.000 0.147 0.353
Tl 0.500 0.334 0.166
Bi 0.000 0.647 0.147
Tl 0.500 0.666 0.834
Tl 0.500 0.166 0.666
Tl 0.500 0.834 0.334

=====

# 7
## ZnAg3Bi (GGA-PBEsol)

Data for crystalline ZnAg3Bi at its relaxed geometry.

Raw total energy in eV per atom: -2.759
Symmetry: No. 221

abc: 4.759 4.759 4.759
angles: 90.00 90.00 90.00
Element x y z (fractional)
Ag 0.500 0.000 0.000
Ag 0.000 0.000 0.500
Ag 0.000 0.500 0.000
Zn 0.000 0.000 0.000
Bi 0.500 0.500 0.500

=====

# 8
## ZnAg2Bi (GGA-PBEsol)

Data for crystalline ZnAg2Bi at its relaxed geometry.

Raw total energy in eV per atom: -2.923
Symmetry: No. 225

abc: 4.817 4.817 4.817
angles: 60.00 60.00 60.00
Element x y z (fractional)
Bi 0.500 0.500 0.500
Zn 0.000 0.000 0.000
Ag 0.750 0.750 0.750
Ag 0.250 0.250 0.250

=====

# 9
## ZrAg2Bi2 (GGA-PBEsol)

Data for crystalline ZrAg2Bi2 at its relaxed geometry.

Raw total energy in eV per atom: -4.825
Symmetry: No. 139

abc: 3.810 3.810 8.446
angles: 103.03 103.03 90.00
Element x y z (fractional)
Bi 0.602 0.602 0.204
Ag 0.250 0.750 0.500
Bi 0.398 0.398 0.796
Ag 0.750 0.250 0.500
Zr 0.000 0.000 0.000

=====

# 10
## Zr2Ag2Bi (GGA-PBEsol)

Data for crystalline Zr2Ag2Bi at its relaxed geometry.

Raw total energy in eV per atom: -5.629
Symmetry: No. 139

abc: 4.203 4.203 7.098
angles: 107.22 107.22 90.00
Element x y z (fractional)
Ag 0.400 0.400 0.799
Zr 0.250 0.750 0.500
Ag 0.600 0.600 0.201
Zr 0.750 0.250 0.500
Bi 0.000 0.000 0.000

=====

# 11
## AgBr5 (GGA-PBEsol)

Data for crystalline AgBr5 at its relaxed geometry.

Raw total energy in eV per atom: -1.567
E_form (uncorrected) in meV per atom: 542.9
Symmetry: No. 216

abc: 5.983 5.983 5.983
angles: 60.00 60.00 60.00
Element x y z (fractional)
Br 0.625 0.625 0.625
Br 0.625 0.125 0.625
Br 0.625 0.625 0.125
Ag 0.000 0.000 0.000
Br 0.250 0.250 0.250
Br 0.125 0.625 0.625

=====

# 12
## CaAgSeBr2 (GGA-PBEsol)

Data for crystalline CaAgSeBr2 at its relaxed geometry.

Raw total energy in eV per atom: -3.028
E_form (uncorrected) in meV per atom: -421.5
Symmetry: No. 123

abc: 5.428 5.428 5.568
angles: 90.00 90.00 90.00
Each line ends with the local moment (μB).
Element x y z (fractional)
Ca 0.000 0.000 0.000  0.00
Se 0.000 0.000 0.500  0.48
Ag 0.500 0.500 0.500  0.00
Br 0.000 0.500 0.000  0.09
Br 0.500 0.000 0.000  0.09

=====

# 13
## CaAgSe2Br (GGA-PBEsol)

Data for crystalline CaAgSe2Br at its relaxed geometry.

Raw total energy in eV per atom: -3.046
E_form (uncorrected) in meV per atom: -43.4
Symmetry: No. 123

abc: 5.420 5.384 5.384
angles: 90.00 90.00 90.00
Each line ends with the local moment (μB).
Element x y z (fractional)
Ca 0.000 0.000 0.000  0.00
Se 0.000 0.500 0.000  0.25
Br 0.500 0.000 0.000  0.12
Ag 0.500 0.500 0.500  0.00
Se 0.000 0.000 0.500  0.25

=====

# 14
## Cr2CdAgBr (GGA-PBEsol)

Data for crystalline Cr2CdAgBr at its relaxed geometry.

Raw total energy in eV per atom: -4.137
E_form (uncorrected) in meV per atom: 1235.8
Symmetry: No. 123

abc: 5.020 5.131 5.131
angles: 90.00 90.00 90.00
Each line ends with the local moment (μB).
Element x y z (fractional)
Ag 0.500 0.000 0.000  -0.06
Cr 0.000 0.000 0.500  3.99
Cr 0.000 0.500 0.000  3.99
Cd 0.000 0.000 0.000  0.05
Br 0.500 0.500 0.500  -0.02

=====

# 15
## CdAgPt2Br (GGA-PBEsol)

Data for crystalline CdAgPt2Br at its relaxed geometry.

Raw total energy in eV per atom: -2.937
E_form (uncorrected) in meV per atom: 1123.9
Symmetry: No. 123

abc: 4.691 4.691 5.256
angles: 90.00 90.00 90.00
Element x y z (fractional)
Pt 0.500 0.000 0.000
Ag 0.500 0.500 0.500
Cd 0.000 0.000 0.500
Br 0.000 0.000 0.000
Pt 0.000 0.500 0.000

=====

# 16
## Cs2CeAgBr6 (GGA-PBEsol)

Data for crystalline Cs2CeAgBr6 at its relaxed geometry.

Raw total energy in eV per atom: -3.794
E_form (uncorrected) in meV per atom: -1493.2
Symmetry: No. 225

abc: 7.966 7.966 7.966
angles: 60.00 60.00 60.00
Each line ends with the local moment (μB).
Element x y z (fractional)
Br 0.753 0.247 0.753  -0.01
Br 0.753 0.753 0.247  -0.01
Br 0.247 0.753 0.753  -0.01
Cs 0.250 0.250 0.250  0.00
Ce 0.500 0.500 0.500  0.99
Br 0.753 0.247 0.247  -0.01
Cs 0.750 0.750 0.750  0.00
Br 0.247 0.247 0.753  -0.01
Br 0.247 0.753 0.247  -0.01
Ag 0.000 0.000 0.000  0.00

=====

# 17
## K2CeAgBr6 (GGA-PBEsol)

Data for crystalline K2CeAgBr6 at its relaxed geometry.

Raw total energy in eV per atom: -3.730
E_form (uncorrected) in meV per atom: -1390.8
Symmetry: No. 225

abc: 7.918 7.918 7.918
angles: 60.00 60.00 60.00
Each line ends with the local moment (μB).
Element x y z (fractional)
Br 0.754 0.246 0.754  -0.01
Br 0.246 0.754 0.246  -0.01
Ce 0.500 0.500 0.500  0.99
Br 0.246 0.754 0.754  -0.01
Br 0.246 0.246 0.754  -0.01
K 0.750 0.750 0.750  0.00
Ag 0.000 0.000 0.000  0.00
Br 0.754 0.246 0.246  -0.01
K 0.250 0.250 0.250  0.00
Br 0.754 0.754 0.246  -0.01

=====

# 18
## Rb2CeAgBr6 (GGA-PBEsol)

Data for crystalline Rb2CeAgBr6 at its relaxed geometry.

Raw total energy in eV per atom: -3.752
E_form (uncorrected) in meV per atom: -1433.9
Symmetry: No. 225

abc: 7.938 7.938 7.938
angles: 60.00 60.00 60.00
Each line ends with the local moment (μB).
Element x y z (fractional)
Rb 0.750 0.750 0.750  0.00
Br 0.246 0.246 0.754  -0.01
Br 0.246 0.754 0.246  -0.01
Br 0.246 0.754 0.754  -0.01
Ce 0.500 0.500 0.500  0.99
Rb 0.250 0.250 0.250  0.00
Br 0.754 0.246 0.246  -0.01
Br 0.754 0.246 0.754  -0.01
Ag 0.000 0.000 0.000  0.00
Br 0.754 0.754 0.246  -0.01

=====

# 19
## AgBr2Cl (GGA-PBEsol)

Data for crystalline AgBr2Cl at its relaxed geometry.

Raw total energy in eV per atom: -2.439
E_form (uncorrected) in meV per atom: -174.6
E above lowest polymorph in meV/atom: 0.0
Symmetry: No. 8

abc: 3.984 4.060 7.412
angles: 87.52 90.00 119.38
Element x y z (fractional)
Br 0.089 0.179 0.051
Ag 0.749 0.498 0.267
Cl 0.410 0.820 0.433
Br 0.252 0.504 0.749

=====

# 20
## AgBrCl2 (GGA-PBEsol)

Data for crystalline AgBrCl2 at its relaxed geometry.

Raw total energy in eV per atom: -2.503
E_form (uncorrected) in meV per atom: -204.1
E above lowest polymorph in meV/atom: 0.0
Symmetry: No. 166

abc: 4.014 4.014 7.879
angles: 75.24 75.24 60.00
Element x y z (fractional)
Br 0.000 0.000 0.000
Ag 0.500 0.500 0.500
Cl 0.107 0.107 0.680
Cl 0.893 0.893 0.320